Record 1
! Y8SbTe4Se3 | the Alexandria database | PBE | optimized geometry; values from VASP
&SYSTEM
  ibrav = 0, nat = 16, ntyp = 4
/
ATOMIC_SPECIES
Y 88.91 Y.upf
Sb 121.76 Sb.upf
Te 127.60 Te.upf
Se 78.96 Se.upf
ATOMIC_POSITIONS angstrom
Y -2.2044 -1.2727 12.1395
Y 0.0000 0.0000 5.0402
Y 0.0000 -2.5455 9.0069
Y -2.2044 1.2727 9.0069
Y 2.2044 -1.2727 12.1395
Y 0.0000 2.5455 12.1395
Y 0.0000 0.0000 16.1062
Y 2.2045 1.2727 9.0069
Sb 0.0000 0.0000 10.5732
Te 0.0000 0.0000 0.0000
Te -2.1253 -1.2270 7.0488
Te -2.1253 1.2270 14.0976
Te 0.0000 2.4541 7.0488
Se -4.2506 0.0000 10.5732
Se -2.1253 1.2270 3.5244
Se 2.1253 1.2270 3.5244
CELL_PARAMETERS angstrom
4.2506 2.4541 7.0488
-4.2506 2.4541 7.0488
0.0000 -4.9081 7.0488
! **Formation energy without anion corrections**: -1.4820 eV per atom
! **Fermi-level density of states**: 0.34 states/eV per atom
! **Total energy**: -6.410 eV/atom

Record 2
! Y6Sb3TeSe2 | the Alexandria database | PBE | optimized geometry; values from VASP
&SYSTEM
  ibrav = 0, nat = 12, ntyp = 4
/
ATOMIC_SPECIES
Y 88.91 Y.upf
Sb 121.76 Sb.upf
Te 127.60 Te.upf
Se 78.96 Se.upf
ATOMIC_POSITIONS angstrom
Y -0.3955 0.0000 2.1696
Y 4.3770 0.0000 7.5703
Y 5.3506 0.0000 3.5229
Y 11.4100 0.0000 4.8267
Y 12.3835 0.0000 0.7793
Y 17.1561 0.0000 6.1800
Sb 1.4326 0.0000 6.9441
Sb 8.3803 0.0000 4.1748
Sb 15.3280 0.0000 1.4055
Te 9.3475 0.0000 0.0000
Se 2.4967 0.0000 2.7892
Se 14.2639 0.0000 5.5603
CELL_PARAMETERS angstrom
9.3475 -2.1476 0.0000
9.3475 2.1476 0.0000
-1.9344 0.0000 8.3496
! **Formation energy without anion corrections**: -1.4018 eV per atom
! **Fermi-level density of states**: 0.43 states/eV per atom
! **Total energy**: -6.507 eV/atom

Record 3
! Y4Sb2TeSe | the Alexandria database | PBE | optimized geometry; values from VASP
&SYSTEM
  ibrav = 0, nat = 8, ntyp = 4
/
ATOMIC_SPECIES
Y 88.91 Y.upf
Sb 121.76 Sb.upf
Te 127.60 Te.upf
Se 78.96 Se.upf
ATOMIC_POSITIONS angstrom
Y 1.2286 0.0000 1.6954
Y -0.0331 2.1617 5.3727
Y 4.9576 2.1617 1.6946
Y 3.6960 0.0000 5.3719
Sb 3.7211 0.0000 0.0000
Sb 2.4623 2.1617 3.5336
Te -1.2588 0.0000 3.5336
Se 0.0000 2.1617 0.0000
CELL_PARAMETERS angstrom
7.4422 0.0000 0.0000
0.0000 4.3233 0.0000
-2.5176 0.0000 7.0673
! **Formation energy without anion corrections**: -1.3649 eV per atom
! **Fermi-level density of states**: 0.47 states/eV per atom
! **Total energy**: -6.456 eV/atom

Record 4
! YSb2TeSe | the Alexandria database | PBE | optimized geometry; values from VASP
&SYSTEM
  ibrav = 0, nat = 5, ntyp = 4
/
ATOMIC_SPECIES
Y 88.91 Y.upf
Sb 121.76 Sb.upf
Te 127.60 Te.upf
Se 78.96 Se.upf
ATOMIC_POSITIONS angstrom
Y 0.0000 0.0000 0.0000
Sb 0.0000 2.6966 2.6765
Sb 2.6966 0.0000 2.6765
Te 2.6966 2.6966 0.0000
Se 2.6966 2.6966 2.6765
CELL_PARAMETERS angstrom
5.3931 0.0000 0.0000
0.0000 5.3931 0.0000
0.0000 0.0000 5.3530
! **Offset from the most stable computed form**: 0 meV/atom
! **Formation energy without anion corrections**: 0.0920 eV per atom
! **Fermi-level density of states**: 0.73 states/eV per atom
! **Total energy**: -4.175 eV/atom

Record 5
! ZnSb2TeSe | the Alexandria database | PBE | optimized geometry; values from VASP
&SYSTEM
  ibrav = 0, nat = 5, ntyp = 4
/
ATOMIC_SPECIES
Zn 65.41 Zn.upf
Sb 121.76 Sb.upf
Te 127.60 Te.upf
Se 78.96 Se.upf
ATOMIC_POSITIONS angstrom
Zn 0.0000 0.0000 0.0000
Sb 0.0000 2.6445 0.0000
Sb 2.6445 0.0000 0.0000
Te 0.0000 0.0000 2.5534
Se 2.6445 2.6445 2.5534
CELL_PARAMETERS angstrom
5.2889 0.0000 0.0000
0.0000 5.2889 0.0000
0.0000 0.0000 5.1067
! **Offset from the most stable computed form**: 0 meV/atom
! **Formation energy without anion corrections**: 0.6044 eV per atom
! **Fermi-level density of states**: 0.98 states/eV per atom
! **Total energy**: -2.625 eV/atom

Record 6
! ZnSbTe2Se | the Alexandria database | PBE | optimized geometry; values from VASP
&SYSTEM
  ibrav = 0, nat = 5, ntyp = 4
/
ATOMIC_SPECIES
Zn 65.41 Zn.upf
Sb 121.76 Sb.upf
Te 127.60 Te.upf
Se 78.96 Se.upf
ATOMIC_POSITIONS angstrom
Zn 0.0000 0.0000 0.0000
Sb 0.0000 0.0000 2.6588
Te 0.0000 2.6016 0.0000
Te 2.6016 0.0000 0.0000
Se 2.6016 2.6016 2.6588
CELL_PARAMETERS angstrom
5.2031 0.0000 0.0000
0.0000 5.2031 0.0000
0.0000 0.0000 5.3175
! **Offset from the most stable computed form**: 0 meV/atom
! **Formation energy without anion corrections**: 0.5785 eV per atom
! **Fermi-level density of states**: 0.97 states/eV per atom
! **Total energy**: -2.454 eV/atom

Record 7
! ZrSb2TeSe | the Alexandria database | PBE | optimized geometry; values from VASP
&SYSTEM
  ibrav = 0, nat = 5, ntyp = 4
/
ATOMIC_SPECIES
Zr 91.22 Zr.upf
Sb 121.76 Sb.upf
Te 127.60 Te.upf
Se 78.96 Se.upf
ATOMIC_POSITIONS angstrom
Zr 0.0000 0.0000 0.0000
Sb 0.0000 2.6626 2.6333
Sb 2.6626 0.0000 2.6333
Te 2.6626 2.6626 0.0000
Se 2.6626 2.6626 2.6333
CELL_PARAMETERS angstrom
5.3252 0.0000 0.0000
0.0000 5.3252 0.0000
0.0000 0.0000 5.2666
! **Offset from the most stable computed form**: 285 meV/atom
! **Formation energy without anion corrections**: 0.6061 eV per atom
! **Fermi-level density of states**: 1.01 states/eV per atom
! **Total energy**: -4.078 eV/atom

Record 8
! ZrSb2TeSe | the Alexandria database | PBE | optimized geometry; values from VASP
&SYSTEM
  ibrav = 0, nat = 5, ntyp = 4
/
ATOMIC_SPECIES
Zr 91.22 Zr.upf
Sb 121.76 Sb.upf
Te 127.60 Te.upf
Se 78.96 Se.upf
ATOMIC_POSITIONS angstrom
Zr 0.0000 0.0000 0.0000
Sb 0.0000 2.7933 0.0000
Sb 2.7933 0.0000 0.0000
Te 0.0000 0.0000 2.7004
Se 2.7933 2.7933 2.7004
CELL_PARAMETERS angstrom
5.5866 0.0000 0.0000
0.0000 5.5866 0.0000
0.0000 0.0000 5.4008
! **Offset from the most stable computed form**: 0 meV/atom
! **Formation energy without anion corrections**: 0.3214 eV per atom
! **Fermi-level density of states**: 1.20 states/eV per atom
! **Total energy**: -4.362 eV/atom

Record 9
! Th3SbSe | the Alexandria database | PBE | optimized geometry; values from VASP
&SYSTEM
  ibrav = 0, nat = 20, ntyp = 3
/
ATOMIC_SPECIES
Th 232.04 Th.upf
Sb 121.76 Sb.upf
Se 78.96 Se.upf
ATOMIC_POSITIONS angstrom
Th 0.2128 1.0999 1.8624
Th 1.1245 1.0999 9.1926
Th 1.6616 3.2997 4.6175
Th 2.3422 1.0999 12.9774
Th 2.8792 3.2997 0.8327
Th 3.7910 3.2997 10.2222
Th 4.2165 1.0999 6.4975
Th 5.1283 1.0999 15.8870
Th 5.6653 3.2997 3.7424
Th 6.3459 1.0999 12.1022
Th 6.8830 3.2997 7.5271
Th 7.7947 3.2997 14.8573
Sb 0.6196 3.2997 11.5056
Sb 3.3842 1.0999 3.1457
Sb 4.6233 3.2997 13.5740
Sb 7.3879 1.0999 5.2141
Se 1.7356 1.0999 15.8732
Se 2.2681 3.2997 7.5134
Se 5.7394 1.0999 9.2064
Se 6.2719 3.2997 0.8465
CELL_PARAMETERS angstrom
8.0075 0.0000 0.0000
0.0000 4.3996 0.0000
0.0000 0.0000 16.7197
! **Formation energy without anion corrections**: -0.8780 eV per atom
! **Fermi-level density of states**: 0.91 states/eV per atom
! **Total energy**: -6.851 eV/atom

Record 10
! Th5SbSe4 | the Alexandria database | PBE | optimized geometry; values from VASP
&SYSTEM
  ibrav = 0, nat = 10, ntyp = 3
/
ATOMIC_SPECIES
Th 232.04 Th.upf
Sb 121.76 Sb.upf
Se 78.96 Se.upf
ATOMIC_POSITIONS angstrom
Th 0.0000 0.0000 0.0000
Th 0.0000 0.0000 4.1838
Th 0.0000 0.0000 8.2797
Th 0.0000 0.0000 12.8342
Th 0.0000 0.0000 16.9300
Sb 0.0000 3.0263 0.0000
Se 2.1522 0.0000 2.0966
Se 2.1522 0.0000 6.2271
Se 0.0000 3.0263 4.3298
Se 0.0000 3.0263 8.4603
CELL_PARAMETERS angstrom
-2.1522 3.0263 10.5569
2.1522 -3.0263 10.5569
2.1522 3.0263 -10.5569
! **Formation energy without anion corrections**: -1.3985 eV per atom
! **Fermi-level density of states**: 0.65 states/eV per atom
! **Total energy**: -6.914 eV/atom

Record 11
! ThSbSe | the Alexandria database | PBE | optimized geometry; values from VASP
&SYSTEM
  ibrav = 0, nat = 6, ntyp = 3
/
ATOMIC_SPECIES
Th 232.04 Th.upf
Sb 121.76 Sb.upf
Se 78.96 Se.upf
ATOMIC_POSITIONS angstrom
Th 1.0745 1.0745 1.8755
Th 3.2234 3.2234 6.8965
Sb 1.0745 3.2234 4.3860
Sb 3.2234 1.0745 4.3860
Se 1.0745 1.0745 7.6026
Se 3.2234 3.2234 1.1693
CELL_PARAMETERS angstrom
4.2978 0.0000 0.0000
0.0000 4.2978 0.0000
0.0000 0.0000 8.7719
! **Offset from the most stable computed form**: 0 meV/atom
! **Formation energy without anion corrections**: -1.2578 eV per atom
! **Fermi-level density of states**: 0.59 states/eV per atom
! **Total energy**: -6.267 eV/atom

What did the third record say?
! Y4Sb2TeSe | the Alexandria database | PBE | optimized geometry; values from VASP
&SYSTEM
  ibrav = 0, nat = 8, ntyp = 4
/
ATOMIC_SPECIES
Y 88.91 Y.upf
Sb 121.76 Sb.upf
Te 127.60 Te.upf
Se 78.96 Se.upf
ATOMIC_POSITIONS angstrom
Y 1.2286 0.0000 1.6954
Y -0.0331 2.1617 5.3727
Y 4.9576 2.1617 1.6946
Y 3.6960 0.0000 5.3719
Sb 3.7211 0.0000 0.0000
Sb 2.4623 2.1617 3.5336
Te -1.2588 0.0000 3.5336
Se 0.0000 2.1617 0.0000
CELL_PARAMETERS angstrom
7.4422 0.0000 0.0000
0.0000 4.3233 0.0000
-2.5176 0.0000 7.0673
! **Formation energy without anion corrections**: -1.3649 eV per atom
! **Fermi-level density of states**: 0.47 states/eV per atom
! **Total energy**: -6.456 eV/atom

What did the tenth record say?
! Th5SbSe4 | the Alexandria database | PBE | optimized geometry; values from VASP
&SYSTEM
  ibrav = 0, nat = 10, ntyp = 3
/
ATOMIC_SPECIES
Th 232.04 Th.upf
Sb 121.76 Sb.upf
Se 78.96 Se.upf
ATOMIC_POSITIONS angstrom
Th 0.0000 0.0000 0.0000
Th 0.0000 0.0000 4.1838
Th 0.0000 0.0000 8.2797
Th 0.0000 0.0000 12.8342
Th 0.0000 0.0000 16.9300
Sb 0.0000 3.0263 0.0000
Se 2.1522 0.0000 2.0966
Se 2.1522 0.0000 6.2271
Se 0.0000 3.0263 4.3298
Se 0.0000 3.0263 8.4603
CELL_PARAMETERS angstrom
-2.1522 3.0263 10.5569
2.1522 -3.0263 10.5569
2.1522 3.0263 -10.5569
! **Formation energy without anion corrections**: -1.3985 eV per atom
! **Fermi-level density of states**: 0.65 states/eV per atom
! **Total energy**: -6.914 eV/atom

What did the third record say?
! Y4Sb2TeSe | the Alexandria database | PBE | optimized geometry; values from VASP
&SYSTEM
  ibrav = 0, nat = 8, ntyp = 4
/
ATOMIC_SPECIES
Y 88.91 Y.upf
Sb 121.76 Sb.upf
Te 127.60 Te.upf
Se 78.96 Se.upf
ATOMIC_POSITIONS angstrom
Y 1.2286 0.0000 1.6954
Y -0.0331 2.1617 5.3727
Y 4.9576 2.1617 1.6946
Y 3.6960 0.0000 5.3719
Sb 3.7211 0.0000 0.0000
Sb 2.4623 2.1617 3.5336
Te -1.2588 0.0000 3.5336
Se 0.0000 2.1617 0.0000
CELL_PARAMETERS angstrom
7.4422 0.0000 0.0000
0.0000 4.3233 0.0000
-2.5176 0.0000 7.0673
! **Formation energy without anion corrections**: -1.3649 eV per atom
! **Fermi-level density of states**: 0.47 states/eV per atom
! **Total energy**: -6.456 eV/atom

Look up the Fermi-level density of states of the third one.
0.47 states/eV per atom